# 1
Computed, not measured: a relaxed structure of Eu2YH at the PBE level of DFT.

Lattice parameters (Å, degrees): 10.004 10.004 10.004 20.82 20.82 20.82
Fractional positions:
1 Eu 0.117 0.117 0.117
2 Eu 0.883 0.883 0.883
3 Y 0.000 0.000 0.000
4 H 0.500 0.500 0.500

Energy above the lowest structure with this stoichiometry (meV per atom): 0



# 2
Computed, not measured: a relaxed structure of EuYH at the PBE level of DFT.

Lattice parameters (Å, degrees): 3.674 3.674 5.951 90.00 90.00 120.00
Fractional positions:
1 Eu 0.000 0.000 0.000
2 Y 0.667 0.333 0.517
3 H 0.333 0.667 0.732

Energy above the lowest structure with this stoichiometry (meV per atom): 93



# 3
Computed, not measured: a relaxed structure of Eu2YH at the PBE level of DFT.

Lattice parameters (Å, degrees): 3.439 3.439 9.148 90.00 90.00 90.00
Fractional positions:
1 Eu 0.000 0.000 0.183
2 Eu 0.000 0.000 0.817
3 Y 0.500 0.500 0.500
4 H 0.500 0.500 0.000

Energy above the lowest structure with this stoichiometry (meV per atom): 52



# 4
Computed, not measured: a relaxed structure of EuYH at the PBE level of DFT.

Lattice parameters (Å, degrees): 6.053 3.717 6.657 90.00 90.37 90.00
Fractional positions:
1 Eu 0.249 0.250 0.405
2 Eu 0.751 0.750 0.595
3 Y 0.266 0.750 0.921
4 Y 0.734 0.250 0.079
5 H 0.370 0.250 0.068
6 H 0.630 0.750 0.932

Energy above the lowest structure with this stoichiometry (meV per atom): 0



# 5
Computed, not measured: a relaxed structure of EuY3H at the PBE level of DFT.

Lattice parameters (Å, degrees): 5.074 5.074 5.074 90.00 90.00 90.00
Fractional positions:
1 Eu 0.000 0.000 0.000
2 Y 0.000 0.500 0.500
3 Y 0.500 0.000 0.500
4 Y 0.500 0.500 0.000
5 H 0.500 0.500 0.500



# 6
Computed, not measured: a relaxed structure of EuY2H at the PBE level of DFT.

Lattice parameters (Å, degrees): 9.822 9.822 9.822 20.90 20.90 20.90
Fractional positions:
1 Eu 0.000 0.000 0.000
2 Y 0.120 0.120 0.120
3 Y 0.880 0.880 0.880
4 H 0.500 0.500 0.500



# 7
Computed, not measured: a relaxed structure of Eu3Y5H12 at the PBE level of DFT.

Lattice parameters (Å, degrees): 11.622 11.622 11.622 109.47 109.47 109.47
Fractional positions:
1 Eu 0.125 0.250 0.375
2 Eu 0.125 0.375 0.750
3 Eu 0.250 0.375 0.125
4 Eu 0.250 0.875 0.625
5 Eu 0.375 0.125 0.250
6 Eu 0.375 0.750 0.125
7 Eu 0.625 0.250 0.875
8 Eu 0.625 0.875 0.750
9 Eu 0.750 0.125 0.375
10 Eu 0.750 0.625 0.875
11 Eu 0.875 0.625 0.250
12 Eu 0.875 0.750 0.625
13 Y 0.000 0.000 0.000
14 Y 0.000 0.000 0.500
15 Y 0.000 0.500 0.000
16 Y 0.000 0.500 0.500
17 Y 0.125 0.750 0.875
18 Y 0.125 0.875 0.250
19 Y 0.250 0.125 0.875
20 Y 0.250 0.625 0.375
21 Y 0.375 0.250 0.625
22 Y 0.375 0.625 0.750
23 Y 0.500 0.000 0.000
24 Y 0.500 0.000 0.500
25 Y 0.500 0.500 0.000
26 Y 0.500 0.500 0.500
27 Y 0.625 0.375 0.250
28 Y 0.625 0.750 0.375
29 Y 0.750 0.375 0.625
30 Y 0.750 0.875 0.125
31 Y 0.875 0.125 0.750
32 Y 0.875 0.250 0.125
33 H 0.053 0.216 0.144
34 H 0.053 0.337 0.909
35 H 0.072 0.716 0.663
36 H 0.072 0.856 0.409
37 H 0.091 0.644 0.428
38 H 0.091 0.947 0.663
39 H 0.144 0.053 0.216
40 H 0.144 0.591 0.928
41 H 0.163 0.216 0.572
42 H 0.163 0.447 0.591
43 H 0.216 0.144 0.053
44 H 0.216 0.572 0.163
45 H 0.284 0.337 0.928
46 H 0.284 0.447 0.356
47 H 0.337 0.909 0.053
48 H 0.337 0.928 0.284
49 H 0.356 0.284 0.447
50 H 0.356 0.572 0.909
51 H 0.409 0.072 0.856
52 H 0.409 0.837 0.553
53 H 0.428 0.091 0.644
54 H 0.428 0.837 0.784
55 H 0.447 0.356 0.284
56 H 0.447 0.591 0.163
57 H 0.553 0.409 0.837
58 H 0.553 0.644 0.716
59 H 0.572 0.163 0.216
60 H 0.572 0.909 0.356
61 H 0.591 0.163 0.447
62 H 0.591 0.928 0.144
63 H 0.644 0.428 0.091
64 H 0.644 0.716 0.553
65 H 0.663 0.072 0.716
66 H 0.663 0.091 0.947
67 H 0.716 0.553 0.644
68 H 0.716 0.663 0.072
69 H 0.784 0.428 0.837
70 H 0.784 0.856 0.947
71 H 0.837 0.553 0.409
72 H 0.837 0.784 0.428
73 H 0.856 0.409 0.072
74 H 0.856 0.947 0.784
75 H 0.909 0.053 0.337
76 H 0.909 0.356 0.572
77 H 0.928 0.144 0.591
78 H 0.928 0.284 0.337
79 H 0.947 0.663 0.091
80 H 0.947 0.784 0.856



# 8
Computed, not measured: a relaxed structure of Eu2ZnH4 at the PBE level of DFT.

Lattice parameters (Å, degrees): 6.916 6.916 6.916 148.18 148.18 45.62
Fractional positions:
1 Eu 0.145 0.145 0.000
2 Eu 0.855 0.855 0.000
3 Zn 0.500 0.500 0.000
4 H 0.000 0.500 0.500
5 H 0.340 0.340 0.000
6 H 0.500 0.000 0.500
7 H 0.660 0.660 0.000



We obtain total DFT energy (no corrections) values of -7.59, -6.89, -7.54, -6.98, -6.70, -6.68, -5.61, -5.28 eV/atom for the records listed above, in that order.